A relaxed structure of KNaRe. Source: OQMD, functional PBE.

Output
Relative energy among the computed polymorphs = 1.4941 eV/atom

Structure (POSCAR):
```
KNaRe
1.0
0.000 3.793 3.793
3.793 0.000 3.793
3.793 3.793 0.000
K Na Re
1 1 1
direct
0.000 0.000 0.000 K
0.250 0.250 0.250 Na
0.750 0.750 0.750 Re
```



A relaxed structure of Sm2Er2CI5. Source: OQMD, functional PBE.

Output
Relative energy among the computed polymorphs = 0.0121 eV/atom

Structure (POSCAR):
```
Sm2Er2CI5
1.0
9.483 -1.984 0.000
9.483 1.984 0.000
-1.922 0.000 8.425
C Er I Sm
1 2 5 2
direct
0.500 0.500 0.000 C
0.999 0.999 0.186 Er
0.001 0.001 0.814 Er
0.834 0.834 0.189 I
0.162 0.162 0.349 I
0.500 0.500 0.500 I
0.838 0.838 0.651 I
0.166 0.166 0.811 I
0.634 0.634 0.067 Sm
0.366 0.366 0.933 Sm
```



A relaxed structure of PrNdAsO. Source: OQMD, functional PBE.

Output
Relative energy among the computed polymorphs = 0.0755 eV/atom

Structure (POSCAR):
```
PrNdAsO
1.0
-2.893 1.647 2.942
-0.873 -4.110 1.442
6.898 0.766 6.356
As Nd O Pr
2 2 2 2
direct
0.750 0.750 0.292 As
0.250 0.250 0.708 As
0.750 0.250 0.500 Nd
0.250 0.750 0.500 Nd
0.750 0.250 0.000 O
0.250 0.750 0.000 O
0.250 0.250 0.106 Pr
0.750 0.750 0.894 Pr
```



A relaxed structure of KPrWSe4. Source: OQMD, functional PBE.

Structure (POSCAR):
```
KPrWSe4
1.0
7.070 0.000 0.000
0.000 7.014 0.000
-2.916 0.000 8.616
K Pr Se W
2 2 8 2
direct
0.259 0.697 0.445 K
0.741 0.197 0.555 K
0.712 0.195 0.046 Pr
0.288 0.695 0.954 Pr
0.974 0.836 0.091 Se
0.501 0.949 0.219 Se
0.497 0.440 0.221 Se
0.070 0.244 0.351 Se
0.930 0.744 0.649 Se
0.503 0.940 0.779 Se
0.499 0.449 0.781 Se
0.026 0.336 0.909 Se
0.231 0.191 0.160 W
0.769 0.691 0.840 W
```



A relaxed structure of NdScMo2C3. Source: OQMD, functional PBE.

Structure (POSCAR):
```
NdScMo2C3
1.0
-3.494 4.697 -0.746
-4.328 2.484 -3.150
-2.462 -3.316 3.908
C Mo Nd Sc
3 2 1 1
direct
0.279 0.279 0.252 C
0.734 0.734 0.763 C
0.994 0.994 0.975 C
0.850 0.850 0.125 Mo
0.150 0.150 0.873 Mo
0.611 0.611 0.325 Nd
0.381 0.381 0.687 Sc
```



A relaxed structure of AcAl6Pt. Source: OQMD, functional PBE.

Structure (POSCAR):
```
AcAl6Pt
1.0
4.396 0.000 0.000
0.000 4.396 0.000
0.000 0.000 8.419
Ac Al Pt
1 6 1
direct
0.000 0.000 0.000 Ac
0.500 0.500 0.152 Al
0.500 0.000 0.337 Al
0.000 0.500 0.337 Al
0.500 0.000 0.663 Al
0.000 0.500 0.663 Al
0.500 0.500 0.848 Al
0.000 0.000 0.500 Pt
```



Ordered raw total energy results: -2.702, -4.640, -6.607, -5.636, -8.872, -4.654; unit eV per atom.